Entry from the Alexandria database: crystalline Y2BeSnPt6 at its relaxed geometry (PBE).

POSCAR file:
```
Y2BeSnPt6
1.0
4.831 -2.789 0.000
4.831 2.789 0.000
-3.212 0.000 7.898
Y Be Sn Pt
2 1 1 6
direct
0.200 0.200 0.101 Y
0.800 0.800 0.899 Y
0.500 0.500 0.000 Be
0.000 0.000 0.500 Sn
0.244 0.738 0.222 Pt
0.262 0.262 0.778 Pt
0.262 0.756 0.778 Pt
0.738 0.244 0.222 Pt
0.738 0.738 0.222 Pt
0.756 0.262 0.778 Pt
```

The magnetization comes out at 0.0 μB per cell. For the energy relative to the elements, the calculation gives -19.27 kcal/mol of atoms.